## one
Be5Os4: relaxed, PBE.

a b c (Å): 8.127 8.127 2.994
angles (deg): 90.00 90.00 90.00
Space group I4/mmm (No. 139)
One atom of each set of equivalent atoms:
Be1 0.000 0.000 0.000 [2 per cell]
Be2 0.183 0.183 0.500 [8 per cell]
Os1 0.000 0.299 0.000 [8 per cell]

Properties
The value obtained for the magnetization is 0.00 μB per cell.

***

## two
Be5Os4: relaxed, PBE.

a b c (Å): 6.9891 6.9891 4.7264
angles (deg): 90.00 90.00 120.00
Space group P6_3/mcm (No. 193)
One atom of each set of equivalent atoms:
Be1 0.0000 0.3081 0.2500 [6 per cell]
Be2 0.3333 0.6667 0.0000 [4 per cell]
Os1 0.0000 0.0000 0.0000 [2 per cell]
Os2 0.0000 0.3665 0.7500 [6 per cell]

Properties
The value obtained for the magnetization is 0.01 μB per cell.

***

In order of decreasing stability: one, two.

***

## one
BeOs5: relaxed, PBE.

a b c (Å): 9.860 2.752 6.284
angles (deg): 90.00 103.87 90.00
Space group Cm (No. 8)
One atom of each set of equivalent atoms:
Be1 0.000 0.000 0.000 [2 per cell]
Os1 0.045 0.000 0.607 [2 per cell]
Os2 0.159 0.500 0.319 [2 per cell]
Os3 0.217 0.500 0.925 [2 per cell]
Os4 0.323 0.000 0.653 [2 per cell]
Os5 0.380 0.000 0.262 [2 per cell]

Properties
The value obtained for the magnetization is 0.00 μB per cell.

***

## two
BeOs5: relaxed, PBE.

a b c (Å): 4.301 2.761 13.880
angles (deg): 90.00 90.00 90.00
Space group Amm2 (No. 38)
One atom of each set of equivalent atoms:
Be1 0.000 0.000 0.000 [2 per cell]
Os1 0.000 0.000 0.330 [2 per cell]
Os2 0.000 0.000 0.658 [2 per cell]
Os3 0.500 0.000 0.216 [2 per cell]
Os4 0.500 0.000 0.548 [2 per cell]
Os5 0.500 0.000 0.888 [2 per cell]

Properties
The value obtained for the magnetization is 0.00 μB per cell.

***

In order of decreasing stability: one, two.

***

## one
BeOs5: relaxed, PBE.

a b c (Å): 4.6935 4.6935 4.3095
angles (deg): 90.00 90.00 120.00
Space group P-62m (No. 189)
One atom of each set of equivalent atoms:
Be1 0.0000 0.0000 0.0000 [1 per cell]
Os1 0.0000 0.6800 0.5000 [3 per cell]
Os2 0.3333 0.6667 0.0000 [2 per cell]

Properties
The value obtained for the magnetization is 0.00 μB per cell.

***

## two
BeOs5: relaxed, PBE.

a b c (Å): 3.807 11.418 3.819
angles (deg): 90.00 90.00 90.00
Space group Cmmm (No. 65)
One atom of each set of equivalent atoms:
Be1 0.000 0.000 0.000 [2 per cell]
Os1 0.000 0.165 0.500 [4 per cell]
Os2 0.000 0.329 0.000 [4 per cell]
Os3 0.000 0.500 0.500 [2 per cell]

Properties
The value obtained for the magnetization is 0.00 μB per cell.

***

In order of decreasing stability: one, two.